Record 1
Density functional theory data (GGA-PBE) for LaZnGa after structural relaxation.

Lattice parameters (Å, degrees): 6.751 6.751 6.751 90.00 90.00 90.00
Space group F-43m (No. 216)
One atom of each set of equivalent atoms:
La1 0.000 0.000 0.000 (multiplicity 4)
Zn1 0.000 0.000 0.500 (multiplicity 4)
Ga1 0.250 0.250 0.250 (multiplicity 4)

Calculated values
Energy, Ha/atom: -0.1270
Total moment, μB per cell: 0.000

---

Record 2
Density functional theory data (GGA-PBE) for LaZrGa after structural relaxation.

Lattice parameters (Å, degrees): 7.043 7.043 7.043 90.00 90.00 90.00
Space group F-43m (No. 216)
One atom of each set of equivalent atoms:
La1 0.000 0.000 0.000 (multiplicity 4)
Zr1 0.250 0.250 0.250 (multiplicity 4)
Ga1 0.250 0.250 0.750 (multiplicity 4)

Calculated values
Energy, Ha/atom: -0.1759
Total moment, μB per cell: 7.708

---

Record 3
Density functional theory data (GGA-PBE) for LiLuGa after structural relaxation.

Lattice parameters (Å, degrees): 6.651 6.651 6.651 90.00 90.00 90.00
Space group F-43m (No. 216)
One atom of each set of equivalent atoms:
Li1 0.000 0.000 0.000 (multiplicity 4)
Lu1 0.250 0.250 0.750 (multiplicity 4)
Ga1 0.000 0.000 0.500 (multiplicity 4)

Calculated values
Total moment, μB per cell: 2.629
ΔE to the lowest computed polymorph, meV/atom: 309